Density functional theory data (GGA-PBE) for an optimized crystal structure of ScTc2As.

extended XYZ file:
```
4
Lattice="-1.195 2.570 -3.341 0.872 -2.163 -1.976 -4.035 -2.829 -0.733" Properties=species:S:1:pos:R:3 pbc="T T T"
As -1.751 -2.169 -1.043
Sc -2.819 -2.403 -3.713
Tc -0.199 -0.203 -0.085
Tc -1.170 -0.143 -2.564
```

## Properties
V (Å³/atom): 16.08
Energy of formation (eV/atom): -0.276
Crystal system: monoclinic
Magnetization (Bohr magnetons per cell): 0.000
Space group: Pm
D(E_F) (states/eV/f.u.): 3.34
Total DFT energy (no corrections) (Ry per atom): -0.6030


Density functional theory data (GGA-PBE) for an optimized crystal structure of ScTcAs2.

extended XYZ file:
```
4
Lattice="4.599 0.000 0.000 0.000 3.221 0.224 0.000 1.258 4.735" Properties=species:S:1:pos:R:3 pbc="T T T"
As 2.300 0.509 1.497
As 0.000 1.861 4.431
Tc 2.300 3.518 4.344
Sc 0.000 2.088 1.902
```

## Properties
V (Å³/atom): 17.21
Energy of formation (eV/atom): -0.457
Crystal system: monoclinic
Magnetization (Bohr magnetons per cell): 0.000
Space group: Pm
D(E_F) (states/eV/f.u.): 1.75
Total DFT energy (no corrections) (Ry per atom): -0.5113


Density functional theory data (GGA-PBE) for an optimized crystal structure of ScTc2As.

extended XYZ file:
```
4
Lattice="2.982 0.000 0.000 0.000 4.140 0.000 0.000 0.000 5.163" Properties=species:S:1:pos:R:3 pbc="T T T"
Tc 1.491 2.070 1.213
Tc 0.000 0.000 0.109
Sc 1.491 2.070 3.840
As 0.000 0.000 2.581
```

## Properties
V (Å³/atom): 15.94
Energy of formation (eV/atom): -0.221
Crystal system: orthorhombic
Magnetization (Bohr magnetons per cell): 0.000
Space group: Pmm2
D(E_F) (states/eV/f.u.): 2.65
Total DFT energy (no corrections) (Ry per atom): -0.5989


Density functional theory data (GGA-PBE) for an optimized crystal structure of Sc3TcAs.

extended XYZ file:
```
5
Lattice="4.933 0.000 0.000 0.000 4.933 0.000 0.000 0.000 4.933" Properties=species:S:1:pos:R:3 pbc="T T T"
Sc 2.467 0.000 0.000
Sc 0.000 2.467 0.000
Sc 0.000 0.000 2.467
As 2.467 2.467 2.467
Tc 0.000 0.000 0.000
```

## Properties
V (Å³/atom): 24.01
Energy of formation (eV/atom): 0.047
Crystal system: cubic
Magnetization (Bohr magnetons per cell): 0.000
Space group: Pm-3m
D(E_F) (states/eV/f.u.): 5.17
Total DFT energy (no corrections) (Ry per atom): -0.4965


Density functional theory data (GGA-PBE) for an optimized crystal structure of ScTc2As.

extended XYZ file:
```
4
Lattice="-0.479 -3.130 0.350 1.816 0.015 2.617 -5.046 1.163 3.495" Properties=species:S:1:pos:R:3 pbc="T T T"
Tc -0.147 0.034 0.102
Tc -2.376 0.547 1.645
As -0.593 -1.267 2.357
Sc -3.116 -0.686 4.105
```

## Properties
V (Å³/atom): 15.85
Energy of formation (eV/atom): -0.152
Crystal system: tetragonal
Magnetization (Bohr magnetons per cell): 0.000
Space group: P4/mmm
D(E_F) (states/eV/f.u.): 4.96
Total DFT energy (no corrections) (Ry per atom): -0.5939


Density functional theory data (GGA-PBE) for an optimized crystal structure of ScTcAs2.

extended XYZ file:
```
4
Lattice="4.037 -0.003 0.002 2.583 3.103 0.002 1.441 0.675 5.695" Properties=species:S:1:pos:R:3 pbc="T T T"
Sc 6.046 2.831 4.274
Tc 2.015 0.944 1.425
As 6.631 3.104 0.185
As 4.021 1.882 2.668
```

## Properties
V (Å³/atom): 17.84
Energy of formation (eV/atom): -0.525
Crystal system: monoclinic
Magnetization (Bohr magnetons per cell): 0.000
Space group: C2/m
D(E_F) (states/eV/f.u.): 1.95
Total DFT energy (no corrections) (Ry per atom): -0.5163


Density functional theory data (GGA-PBE) for an optimized crystal structure of ScTcAs.

extended XYZ file:
```
3
Lattice="5.442 -0.004 0.000 3.541 4.133 0.000 -4.492 -2.064 2.276" Properties=species:S:1:pos:R:3 pbc="T T T"
As 8.748 4.020 0.000
Sc 6.003 2.759 0.000
Tc 3.216 1.478 0.000
```

## Properties
V (Å³/atom): 17.08
Energy of formation (eV/atom): -0.505
Crystal system: tetragonal
Magnetization (Bohr magnetons per cell): 0.000
Space group: I4mm
D(E_F) (states/eV/f.u.): 2.46
Total DFT energy (no corrections) (Ry per atom): -0.5601


Density functional theory data (GGA-PBE) for an optimized crystal structure of ScTcAs2.

extended XYZ file:
```
4
Lattice="-3.921 5.328 -0.142 -4.981 2.470 3.587 6.080 -2.544 -0.580" Properties=species:S:1:pos:R:3 pbc="T T T"
Sc -4.035 3.535 1.561
Tc -1.295 1.580 2.218
As -1.492 3.645 0.634
As -0.450 0.394 0.174
```

## Properties
V (Å³/atom): 17.75
Energy of formation (eV/atom): -0.626
Crystal system: orthorhombic
Magnetization (Bohr magnetons per cell): 0.000
Space group: Imm2
D(E_F) (states/eV/f.u.): 0.89
Total DFT energy (no corrections) (Ry per atom): -0.5237


Density functional theory data (GGA-PBE) for an optimized crystal structure of ScTcAs2.

extended XYZ file:
```
4
Lattice="4.128 0.000 0.000 0.000 3.354 -0.002 0.000 0.378 5.151" Properties=species:S:1:pos:R:3 pbc="T T T"
Tc 2.064 2.799 3.861
As 0.000 2.369 2.543
As 0.000 2.851 0.028
Sc 2.064 0.933 1.287
```

## Properties
V (Å³/atom): 17.83
Energy of formation (eV/atom): -0.408
Crystal system: monoclinic
Magnetization (Bohr magnetons per cell): 0.000
Space group: P2/m
D(E_F) (states/eV/f.u.): 2.50
Total DFT energy (no corrections) (Ry per atom): -0.5077


Density functional theory data (GGA-PBE) for an optimized crystal structure of ScTc2As.

extended XYZ file:
```
4
Lattice="3.014 0.000 0.000 0.000 3.014 0.000 0.000 0.000 7.296" Properties=species:S:1:pos:R:3 pbc="T T T"
Tc 0.000 0.000 0.195
Tc 1.507 1.507 1.827
As 0.000 0.000 3.348
Sc 1.507 1.507 5.573
```

## Properties
V (Å³/atom): 16.57
Energy of formation (eV/atom): -0.240
Crystal system: tetragonal
Magnetization (Bohr magnetons per cell): 0.000
Space group: P4mm
D(E_F) (states/eV/f.u.): 2.02
Total DFT energy (no corrections) (Ry per atom): -0.6004


Density functional theory data (GGA-PBE) for an optimized crystal structure of ScTc3As.

extended XYZ file:
```
5
Lattice="4.563 0.000 0.000 0.000 4.563 0.000 0.000 0.000 4.563" Properties=species:S:1:pos:R:3 pbc="T T T"
Tc 2.281 0.000 0.000
Tc 0.000 2.281 0.000
Tc 0.000 0.000 2.281
As 0.000 0.000 0.000
Sc 2.281 2.281 2.281
```

## Properties
V (Å³/atom): 19.00
Energy of formation (eV/atom): 0.565
Crystal system: cubic
Magnetization (Bohr magnetons per cell): 1.908
Space group: Pm-3m
D(E_F) (states/eV/f.u.): 4.47
Total DFT energy (no corrections) (Ry per atom): -0.5770


Density functional theory data (GGA-PBE) for an optimized crystal structure of ScTc4As.

extended XYZ file:
```
6
Lattice="-1.069 -4.258 -2.798 -1.337 -4.423 2.399 -4.893 -1.752 -0.308" Properties=species:S:1:pos:R:3 pbc="T T T"
As -5.474 -7.824 -0.530
Tc -3.274 -6.035 -1.655
Tc -3.407 -6.117 0.925
Tc -5.173 -4.791 -0.419
Tc -2.743 -3.921 -0.266
Sc 0.000 0.000 0.000
```

## Properties
V (Å³/atom): 16.63
Energy of formation (eV/atom): 0.126
Crystal system: cubic
Magnetization (Bohr magnetons per cell): 0.000
Space group: F-43m
D(E_F) (states/eV/f.u.): 6.02
Total DFT energy (no corrections) (Ry per atom): -0.6332